1.
Crystalline LaSm2Ag at its relaxed geometry, computed with PBE.

```
data_LaSm2Ag
_space_group_name_H-M_alt 'R 3 m'
_space_group_IT_number 160
_space_group_name_Hall 'R 3 -2"'
_cell_length_a 3.6694
_cell_length_b 3.6694
_cell_length_c 32.4523
_cell_angle_alpha 90.00
_cell_angle_beta 90.00
_cell_angle_gamma 120.00
loop_
_atom_site_label
_atom_site_type_symbol
_atom_site_fract_x
_atom_site_fract_y
_atom_site_fract_z
_atom_site_occupancy
La1 La 0.0000 0.0000 0.0000 1
Sm1 Sm 0.0000 0.0000 0.2379 1
Sm2 Sm 0.0000 0.0000 0.4276 1
Ag1 Ag 0.0000 0.0000 0.8327 1
```

Results
**Distance to the lowest polymorph of the same formula**: 131 meV/atom
**Total moment**: 0.00 μB per formula unit
**Calculated volume**: 378 Å³/cell
**Energy of formation from the pure elements**: 0.017 eV/atom


2.
Crystalline La6Sm2Ag at its relaxed geometry, computed with PBE.

```
data_La6Sm2Ag
_space_group_name_H-M_alt 'A m m 2'
_space_group_IT_number 38
_cell_length_a 3.759
_cell_length_b 16.944
_cell_length_c 9.795
_cell_angle_alpha 90.00
_cell_angle_beta 90.00
_cell_angle_gamma 90.00
loop_
_space_group_symop_operation_xyz
'x,y,z'
'-x,-y,z'
'-x,y,z'
'x,-y,z'
'x,y+1/2,z+1/2'
'-x,-y+1/2,z+1/2'
'-x,y+1/2,z+1/2'
'x,-y+1/2,z+1/2'
loop_
_atom_site_label
_atom_site_type_symbol
_atom_site_fract_x
_atom_site_fract_y
_atom_site_fract_z
_atom_site_occupancy
La1 La 0.000 0.000 0.000 1
La2 La 0.000 0.134 0.597 1
La3 La 0.500 0.000 0.352 1
La4 La 0.500 0.190 0.922 1
Sm1 Sm 0.000 0.167 0.232 1
Ag1 Ag 0.500 0.000 0.732 1
```

Results
**Total moment**: 0.00 μB per formula unit
**Calculated volume**: 624 Å³/cell
**Energy of formation from the pure elements**: -0.038 eV/atom


3.
Crystalline La2Sm3Ag4 at its relaxed geometry, computed with PBE.

```
data_La2Sm3Ag4
_space_group_name_H-M_alt 'C m c e'
_space_group_IT_number 64
_space_group_name_Hall '-C 2ac 2'
_cell_length_a 7.089
_cell_length_b 18.529
_cell_length_c 7.847
_cell_angle_alpha 90.00
_cell_angle_beta 90.00
_cell_angle_gamma 90.00
loop_
_atom_site_label
_atom_site_type_symbol
_atom_site_fract_x
_atom_site_fract_y
_atom_site_fract_z
_atom_site_occupancy
La1 La 0.000 0.096 0.077 1
Sm1 Sm 0.000 0.000 0.500 1
Sm2 Sm 0.250 0.242 0.750 1
Ag1 Ag 0.000 0.163 0.486 1
Ag2 Ag 0.250 0.074 0.750 1
```

Results
**Total moment**: 0.00 μB per formula unit
**Calculated volume**: 1031 Å³/cell
**Energy of formation from the pure elements**: -0.140 eV/atom


4.
Crystalline La2SmAg at its relaxed geometry, computed with PBE.

```
data_La2SmAg
_space_group_name_H-M_alt 'P n m a'
_space_group_IT_number 62
_cell_length_a 7.207
_cell_length_b 10.809
_cell_length_c 6.634
_cell_angle_alpha 90.00
_cell_angle_beta 90.00
_cell_angle_gamma 90.00
loop_
_space_group_symop_operation_xyz
'x,y,z'
'-x,-y,-z'
'-x+1/2,-y,z+1/2'
'x+1/2,y,-z+1/2'
'x+1/2,-y+1/2,-z+1/2'
'-x+1/2,y+1/2,z+1/2'
'-x,y+1/2,-z'
'x,-y+1/2,z'
loop_
_atom_site_label
_atom_site_type_symbol
_atom_site_fract_x
_atom_site_fract_y
_atom_site_fract_z
_atom_site_occupancy
La1 La 0.196 0.045 0.164 1
Sm1 Sm 0.019 0.250 0.639 1
Ag1 Ag 0.104 0.750 0.914 1
```

Results
**Distance to the lowest polymorph of the same formula**: 16 meV/atom
**Total moment**: 0.00 μB per formula unit
**Calculated volume**: 517 Å³/cell
**Energy of formation from the pure elements**: -0.087 eV/atom


5.
Crystalline La4Sm3Ag at its relaxed geometry, computed with PBE.

```
data_La4Sm3Ag
_space_group_name_H-M_alt 'P 4/m m m'
_space_group_IT_number 123
_space_group_name_Hall '-P 4 2'
_cell_length_a 3.743
_cell_length_b 3.743
_cell_length_c 19.266
_cell_angle_alpha 90.00
_cell_angle_beta 90.00
_cell_angle_gamma 90.00
loop_
_atom_site_label
_atom_site_type_symbol
_atom_site_fract_x
_atom_site_fract_y
_atom_site_fract_z
_atom_site_occupancy
La1 La 0.000 0.000 0.103 1
La2 La 0.000 0.000 0.368 1
Sm1 Sm 0.500 0.500 0.238 1
Sm2 Sm 0.500 0.500 0.500 1
Ag1 Ag 0.500 0.500 0.000 1
```

Results
**Total moment**: 0.00 μB per formula unit
**Calculated volume**: 270 Å³/cell
**Energy of formation from the pure elements**: -0.041 eV/atom


6.
Crystalline La2SmAg at its relaxed geometry, computed with PBE.

```
data_La2SmAg
_space_group_name_H-M_alt 'C 1 2/c 1'
_space_group_IT_number 15
_cell_length_a 11.066
_cell_length_b 6.540
_cell_length_c 6.892
_cell_angle_alpha 90.00
_cell_angle_beta 97.29
_cell_angle_gamma 90.00
loop_
_space_group_symop_operation_xyz
'x,y,z'
'-x,-y,-z'
'-x,y,-z+1/2'
'x,-y,z+1/2'
'x+1/2,y+1/2,z'
'-x+1/2,-y+1/2,-z'
'-x+1/2,y+1/2,-z+1/2'
'x+1/2,-y+1/2,z+1/2'
loop_
_atom_site_label
_atom_site_type_symbol
_atom_site_fract_x
_atom_site_fract_y
_atom_site_fract_z
_atom_site_occupancy
La1 La 0.220 0.003 0.075 1
Sm1 Sm 0.000 0.332 0.250 1
Ag1 Ag 0.000 0.208 0.750 1
```

Results
**Distance to the lowest polymorph of the same formula**: 49 meV/atom
**Total moment**: 0.00 μB per formula unit
**Calculated volume**: 495 Å³/cell
**Energy of formation from the pure elements**: -0.054 eV/atom


7.
Crystalline LaSm5Ag4 at its relaxed geometry, computed with PBE.

```
data_LaSm5Ag4
_space_group_name_H-M_alt 'P 4/m m m'
_space_group_IT_number 123
_space_group_name_Hall '-P 4 2'
_cell_length_a 3.700
_cell_length_b 3.700
_cell_length_c 20.114
_cell_angle_alpha 90.00
_cell_angle_beta 90.00
_cell_angle_gamma 90.00
loop_
_atom_site_label
_atom_site_type_symbol
_atom_site_fract_x
_atom_site_fract_y
_atom_site_fract_z
_atom_site_occupancy
La1 La 0.000 0.000 0.000 1
Sm1 Sm 0.500 0.500 0.129 1
Sm2 Sm 0.500 0.500 0.313 1
Sm3 Sm 0.500 0.500 0.500 1
Ag1 Ag 0.000 0.000 0.221 1
Ag2 Ag 0.000 0.000 0.407 1
```

Results
**Total moment**: 0.00 μB per formula unit
**Calculated volume**: 275 Å³/cell
**Energy of formation from the pure elements**: -0.215 eV/atom


8.
Crystalline LaSmAg at its relaxed geometry, computed with PBE.

```
data_LaSmAg
_space_group_name_H-M_alt 'P n m a'
_space_group_IT_number 62
_cell_length_a 7.363
_cell_length_b 5.221
_cell_length_c 9.404
_cell_angle_alpha 90.00
_cell_angle_beta 90.00
_cell_angle_gamma 90.00
loop_
_space_group_symop_operation_xyz
'x,y,z'
'-x,-y,-z'
'-x+1/2,-y,z+1/2'
'x+1/2,y,-z+1/2'
'x+1/2,-y+1/2,-z+1/2'
'-x+1/2,y+1/2,z+1/2'
'-x,y+1/2,-z'
'x,-y+1/2,z'
loop_
_atom_site_label
_atom_site_type_symbol
_atom_site_fract_x
_atom_site_fract_y
_atom_site_fract_z
_atom_site_occupancy
La1 La 0.011 0.250 0.183 1
Sm1 Sm 0.149 0.250 0.582 1
Ag1 Ag 0.245 0.250 0.901 1
```

Results
**Distance to the lowest polymorph of the same formula**: 0 meV/atom
**Total moment**: 0.00 μB per formula unit
**Calculated volume**: 361 Å³/cell
**Energy of formation from the pure elements**: -0.153 eV/atom